--- a ---
Here is a relaxed KCu3H crystal from the Alexandria database. Energies are from PBE.

Lattice parameters (Å, degrees): 4.219 4.219 4.219 90.00 90.00 90.00
Positions (direct):
H: 0.000 0.000 0.000
K: 0.500 0.500 0.500
Cu: 0.000 0.500 0.000
Cu: 0.000 0.000 0.500
Cu: 0.500 0.000 0.000

Computed properties:
The size of the total moment is 0.0 μB per cell. The space-group type is Pm-3m (221).

--- b ---
Here is a relaxed KCu3H crystal from the Alexandria database. Energies are from PBE.

Lattice parameters (Å, degrees): 5.867 5.867 5.867 90.00 90.00 90.00
Last column: magnetic moment on the atom in μB.
Positions (direct):
H: 0.500 0.500 0.500  0.37
K: 0.000 0.000 0.000  0.00
Cu: 0.000 0.500 0.000  -0.01
Cu: 0.000 0.000 0.500  0.01
Cu: 0.500 0.000 0.000  0.01

Computed properties:
The size of the total moment is 0.9 μB per cell. The space-group type is Pm-3m (221).

Stability, lowest: b